VASP calculation (PBE-GGA) on an optimized crystal structure of Pm2Ni3Sn4Ir.

a b c (Å): 4.431 4.431 10.414
angles (deg): 90.00 90.00 90.00
Site moments in Bohr magnetons follow the coordinates.
Positions (direct):
Pm  0.500  0.000  0.256  0.00
Pm  0.000  0.500  0.744  0.00
Ni  0.000  0.000  0.500  0.09
Ni  0.500  0.000  0.874  0.00
Ni  0.000  0.500  0.126  0.00
Sn  0.500  0.500  0.000  0.00
Sn  0.000  0.000  0.000  0.00
Sn  0.500  0.000  0.636  0.00
Sn  0.000  0.500  0.364  0.00
Ir  0.500  0.500  0.500  0.05

Calculated values
ΔE_f	-0.52	eV per atom
density of states at the Fermi level	6.87	states/eV/cell
space group	P-4m2 (115)